First-principles (PBE-GGA) data for a relaxed structure of Zr2HgBr, as listed in Alexandria.

Properties
For the polymorph energy (0 for the lowest one), the calculation gives 176 meV per atom.

Cell lengths 3.2757, 3.2757, 7.7580 Å; angles 90.00, 90.00, 90.00 degrees
With the nearest neighbours (Å) after each atom.
Space group P4/mmm (No. 123)
Inequivalent atoms, fractional coordinates:
Zr: 0.0000 0.0000 0.2352 x2  4 Br 2.95, 4 Hg 3.10, 4 Zr 3.28
Hg: 0.5000 0.5000 0.5000 x1  8 Zr 3.10, 4 Hg 3.28
Br: 0.5000 0.5000 0.0000 x1  8 Zr 2.95, 4 Br 3.28